The following is a DFT calculation (PBE-GGA) of an optimized crystal structure of KMg2GeN.

```
KMg2GeN
1.0
4.980 0.000 0.000
0.000 6.690 0.000
0.000 0.000 4.980
Mg Ge K N
2 1 1 1
Direct
0.000 0.000 0.500
0.500 0.000 0.000
0.000 0.000 0.000
0.000 0.500 0.000
0.500 0.500 0.500
```

Properties
The calculation puts the density of states at the Fermi level at 0.15 states/eV/atom. As for the space-group type: P4/mmm. The uncorrected formation energy comes out at 86.9 kJ/mol of atoms. The value obtained for the theoretical density is 1.7 g cm⁻³.



The following is a DFT calculation (PBE-GGA) of an optimized crystal structure of Li2Ce2PmGe2.

```
Li2Ce2PmGe2
1.0
-2.951 0.909 -3.153
-0.615 -2.831 -3.329
-7.508 -4.809 2.552
Li Ce Pm Ge
2 2 1 2
Direct
0.591 0.591 0.226
0.409 0.409 0.774
0.142 0.142 0.574
0.858 0.858 0.426
0.000 0.000 0.000
0.737 0.737 0.790
0.263 0.263 0.210
```

Properties
The calculation puts the density of states at the Fermi level at 1.43 states/eV/atom. As for the space-group type: R-3m. The calculated formation energy is -484 meV/atom. The value obtained for the theoretical density is 6.5 g cm⁻³.



The following is a DFT calculation (PBE-GGA) of an optimized crystal structure of TaMn3P.

```
TaMn3P
1.0
4.081 0.000 0.000
0.000 4.081 0.000
0.000 0.000 4.081
P Mn Ta
1 3 1
Direct
0.000 0.000 0.000
0.000 0.500 0.000
0.000 0.000 0.500
0.500 0.000 0.000
0.500 0.500 0.500
```

Properties
The calculation puts the density of states at the Fermi level at 0.64 states/eV/atom. As for the space-group type: Pm-3m. The calculated formation energy is 211 meV/atom. The energy above the most stable polymorph in this dataset comes out at 0.000 eV per formula unit. The value obtained for the theoretical density is 9.2 g cm⁻³.